Record 1
# GGA-PBE SmEuDy, optimized geometry
# D(E_F) = 1.176 states/eV per atom
# ΔE_f = 0.0481 eV/atom
data_SmEuDy
_chemical_formula_sum 'Sm1 Eu1 Dy1'
_cell_length_a 3.6640
_cell_length_b 3.6640
_cell_length_c 8.9937
_cell_angle_alpha 90.00
_cell_angle_beta 90.00
_cell_angle_gamma 120.00
_symmetry_space_group_name_H-M 'P 3 m 1'
_symmetry_Int_Tables_number 156
loop_
_symmetry_equiv_pos_as_xyz
'x,y,z'
'-y,x-y,z'
'-x+y,-x,z'
'-y,-x,z'
'-x+y,y,z'
'x,x-y,z'
loop_
_atom_site_label
_atom_site_type_symbol
_atom_site_fract_x
_atom_site_fract_y
_atom_site_fract_z
Sm1 Sm 0.0000 0.0000 0.0000
Eu1 Eu 0.3333 0.6667 0.6519
Dy1 Dy 0.6667 0.3333 0.3113

***

Record 2
# GGA-PBE SmEuDy2, optimized geometry
# D(E_F) = 1.541 states/eV per atom
# ΔE_f = 0.1625 eV/atom
# ΔE to the lowest computed polymorph = 102 meV/atom
data_SmEuDy2
_chemical_formula_sum 'Sm3 Eu3 Dy6'
_cell_length_a 3.5556
_cell_length_b 3.5556
_cell_length_c 37.7653
_cell_angle_alpha 90.00
_cell_angle_beta 90.00
_cell_angle_gamma 120.00
_symmetry_space_group_name_H-M 'R -3 m'
_symmetry_Int_Tables_number 166
_symmetry_space_group_name_Hall '-R 3 2"'
loop_
_atom_site_label
_atom_site_type_symbol
_atom_site_fract_x
_atom_site_fract_y
_atom_site_fract_z
Sm1 Sm 0.0000 0.0000 0.0000
Eu1 Eu 0.0000 0.0000 0.5000
Dy1 Dy 0.0000 0.0000 0.4094

***

no.,M_tot (μB/f.u.)
1,7.33
2,7.72